1.
! Y2Ho6Mg | Alexandria | PBE | optimized geometry; values from VASP
&SYSTEM
  ibrav = 0, nat = 9, ntyp = 3
/
ATOMIC_SPECIES
Y 88.91 Y.upf
Ho 164.93 Ho.upf
Mg 24.30 Mg.upf
CELL_PARAMETERS angstrom
3.545 0.000 0.000
-1.772 3.070 0.000
0.000 0.000 25.798
ATOMIC_POSITIONS crystal
Y 0.000 0.000 0.174
Y 0.000 0.000 0.826
Ho 0.000 0.000 0.395
Ho 0.000 0.000 0.605
Ho 0.667 0.333 0.066
Ho 0.667 0.333 0.286
Ho 0.667 0.333 0.714
Ho 0.667 0.333 0.934
Mg 0.667 0.333 0.500
! DFT formation energy   0.066 eV per atom
! Spin magnetization   1.3 Bohr magnetons per cell
! D(E_F)   15.33 states/eV/f.u.
! SG   P-6m2



2.
! Y2HoMg5 | Alexandria | PBE | optimized geometry; values from VASP
&SYSTEM
  ibrav = 0, nat = 8, ntyp = 3
/
ATOMIC_SPECIES
Y 88.91 Y.upf
Ho 164.93 Ho.upf
Mg 24.30 Mg.upf
CELL_PARAMETERS angstrom
-2.626 2.626 7.566
2.626 -2.626 7.566
2.626 2.626 -7.566
ATOMIC_POSITIONS crystal
Y 0.244 0.244 0.000
Y 0.756 0.756 0.000
Ho 0.500 0.500 0.000
Mg 0.000 0.000 0.000
Mg 0.119 0.619 0.500
Mg 0.381 0.881 0.500
Mg 0.619 0.119 0.500
Mg 0.881 0.381 0.500
! DFT formation energy   -0.083 eV per atom
! Spin magnetization   0.2 Bohr magnetons per cell
! D(E_F)   6.11 states/eV/f.u.
! SG   I4/mmm



3.
! Y2HoMg6 | Alexandria | PBE | optimized geometry; values from VASP
&SYSTEM
  ibrav = 0, nat = 9, ntyp = 3
/
ATOMIC_SPECIES
Y 88.91 Y.upf
Ho 164.93 Ho.upf
Mg 24.30 Mg.upf
CELL_PARAMETERS angstrom
7.840 -4.523 0.000
7.840 4.523 0.000
-0.015 0.000 3.315
ATOMIC_POSITIONS crystal
Y 0.167 0.167 0.000
Y 0.833 0.833 0.000
Ho 0.500 0.500 0.000
Mg 0.167 0.500 0.499
Mg 0.167 0.833 0.500
Mg 0.500 0.167 0.499
Mg 0.500 0.833 0.501
Mg 0.833 0.167 0.500
Mg 0.833 0.500 0.501
! DFT formation energy   -0.075 eV per atom
! Spin magnetization   0.0 Bohr magnetons per cell
! D(E_F)   8.08 states/eV/f.u.
! SG   C2/m



4.
! YHo14Mg | Alexandria | PBE | optimized geometry; values from VASP
&SYSTEM
  ibrav = 0, nat = 16, ntyp = 3
/
ATOMIC_SPECIES
Y 88.91 Y.upf
Ho 164.93 Ho.upf
Mg 24.30 Mg.upf
CELL_PARAMETERS angstrom
9.937 0.000 0.000
0.000 4.962 4.962
0.000 -4.962 4.962
ATOMIC_POSITIONS crystal
Y 0.000 0.000 0.000
Ho 0.000 0.000 0.500
Ho 0.000 0.500 0.000
Ho 0.250 0.249 0.249
Ho 0.250 0.249 0.751
Ho 0.250 0.751 0.249
Ho 0.250 0.751 0.751
Ho 0.500 0.000 0.000
Ho 0.500 0.000 0.500
Ho 0.500 0.500 0.000
Ho 0.500 0.500 0.500
Ho 0.750 0.249 0.249
Ho 0.750 0.249 0.751
Ho 0.750 0.751 0.249
Ho 0.750 0.751 0.751
Mg 0.000 0.501 0.501
! DFT formation energy   0.024 eV per atom
! Spin magnetization   0.0 Bohr magnetons per cell
! D(E_F)   20.97 states/eV/f.u.
! SG   Amm2



> What is the formula in the second record?

Y2HoMg5



> What is the DFT formation energy in the third record?

-0.075 eV per atom